(1)
First-principles (GGA-PBE) data for a relaxed structure of ZrScCdC, as listed in OQMD.

```
ZrScCdC
1.0
3.333 0.000 0.000
-1.666 2.886 0.000
0.000 0.000 15.429
Sc Zr C Cd
2 2 2 2
Direct
0.333 0.667 0.081 Sc
0.667 0.333 0.581 Sc
0.333 0.667 0.419 Zr
0.667 0.333 0.919 Zr
0.000 0.000 0.998 C
0.000 0.000 0.498 C
0.667 0.333 0.252 Cd
0.333 0.667 0.752 Cd
```

Results
offset from the most stable computed form = 11 meV per atom

(2)
First-principles (GGA-PBE) data for a relaxed structure of ZrScCdC, as listed in OQMD.

```
ZrScCdC
1.0
-2.270 -0.559 2.374
2.687 -1.957 -0.230
7.666 9.407 9.547
Zr Sc C Cd
2 2 2 2
Direct
0.333 0.667 0.081 Zr
0.667 0.333 0.919 Zr
0.667 0.333 0.579 Sc
0.333 0.667 0.421 Sc
0.000 0.000 0.000 C
0.000 0.000 0.500 C
0.333 0.667 0.751 Cd
0.667 0.333 0.249 Cd
```

Results
offset from the most stable computed form = 0 meV per atom

(3)
First-principles (GGA-PBE) data for a relaxed structure of Zr2Sc4Cd3C3, as listed in OQMD.

```
Zr2Sc4Cd3C3
1.0
4.975 -2.881 0.000
4.975 2.881 0.000
-3.315 0.000 15.469
Zr Cd Sc C
4 6 8 6
Direct
0.355 0.527 0.580 Zr
0.645 0.473 0.420 Zr
0.527 0.355 0.080 Zr
0.473 0.645 0.920 Zr
0.915 0.085 0.250 Cd
0.422 0.244 0.750 Cd
0.756 0.578 0.750 Cd
0.578 0.756 0.250 Cd
0.244 0.422 0.250 Cd
0.085 0.915 0.750 Cd
0.306 0.135 0.419 Sc
0.032 0.188 0.581 Sc
0.968 0.812 0.419 Sc
0.812 0.968 0.919 Sc
0.865 0.694 0.081 Sc
0.188 0.032 0.081 Sc
0.135 0.306 0.919 Sc
0.694 0.865 0.581 Sc
0.821 0.340 0.000 C
0.500 0.000 0.000 C
0.660 0.179 0.500 C
0.340 0.821 0.500 C
0.000 0.500 0.500 C
0.179 0.660 0.000 C
```

Results
total DFT energy (no corrections) = -6.53 eV/atom

(4)
First-principles (GGA-PBE) data for a relaxed structure of Zr3ScCd2C2, as listed in OQMD.

```
Zr3ScCd2C2
1.0
3.336 0.000 0.000
-1.668 2.889 0.000
0.000 0.000 15.395
C Cd Sc Zr
2 2 1 3
Direct
0.667 0.333 0.998 C
0.667 0.333 0.500 C
0.333 0.667 0.251 Cd
0.000 0.000 0.750 Cd
0.000 0.000 0.081 Sc
0.000 0.000 0.419 Zr
0.333 0.667 0.581 Zr
0.333 0.667 0.919 Zr
```

Results
total DFT energy (no corrections) = -7.03 eV/atom

(5)
First-principles (GGA-PBE) data for a relaxed structure of ZrScCdC, as listed in OQMD.

```
ZrScCdC
1.0
3.329 0.000 0.000
-1.665 2.883 0.000
0.000 0.000 15.431
Zr Cd Sc C
2 2 2 2
Direct
0.667 0.333 0.169 Zr
0.667 0.333 0.831 Zr
0.667 0.333 0.500 Cd
0.333 0.667 0.000 Cd
0.333 0.667 0.331 Sc
0.333 0.667 0.669 Sc
0.000 0.000 0.249 C
0.000 0.000 0.751 C
```

Results
offset from the most stable computed form = 10 meV per atom

(6)
First-principles (GGA-PBE) data for a relaxed structure of Ta4CdSiC2, as listed in OQMD.

```
Ta4CdSiC2
1.0
-2.442 1.542 -1.358
-0.185 -3.145 0.512
-5.316 2.290 12.161
C Si Ta Cd
2 1 4 1
Direct
0.333 0.667 0.766 C
0.333 0.667 0.234 C
0.000 0.000 0.000 Si
0.000 0.000 0.681 Ta
0.667 0.333 0.142 Ta
0.667 0.333 0.858 Ta
0.000 0.000 0.319 Ta
0.667 0.333 0.500 Cd
```

Results
total DFT energy (no corrections) = -9.44 eV/atom

(7)
First-principles (GGA-PBE) data for a relaxed structure of CdSn3C, as listed in OQMD.

```
CdSn3C
1.0
4.838 0.000 0.000
0.000 4.838 0.000
0.000 0.000 4.838
Cd C Sn
1 1 3
Direct
0.500 0.500 0.500 Cd
0.000 0.000 0.000 C
0.000 0.500 0.000 Sn
0.000 0.000 0.500 Sn
0.500 0.000 0.000 Sn
```

Results
total DFT energy (no corrections) = -3.64 eV/atom

(8)
First-principles (GGA-PBE) data for a relaxed structure of Ta4CdSnC2, as listed in OQMD.

```
Ta4CdSnC2
1.0
3.200 0.000 0.000
-1.600 2.772 0.000
0.000 0.000 14.244
Sn Ta C Cd
1 4 2 1
Direct
0.667 0.333 0.500 Sn
0.000 0.000 0.664 Ta
0.667 0.333 0.171 Ta
0.000 0.000 0.336 Ta
0.667 0.333 0.829 Ta
0.333 0.667 0.749 C
0.333 0.667 0.251 C
0.000 0.000 0.000 Cd
```

Results
total DFT energy (no corrections) = -9.17 eV/atom

(9)
First-principles (GGA-PBE) data for a relaxed structure of Tm4CdSnC2, as listed in OQMD.

```
Tm4CdSnC2
1.0
3.548 0.000 0.000
-1.774 3.072 0.000
0.000 0.000 15.829
Tm C Sn Cd
4 2 1 1
Direct
0.333 0.667 0.831 Tm
0.000 0.000 0.336 Tm
0.333 0.667 0.169 Tm
0.000 0.000 0.664 Tm
0.667 0.333 0.748 C
0.667 0.333 0.252 C
0.333 0.667 0.500 Sn
0.000 0.000 0.000 Cd
```

Results
total DFT energy (no corrections) = -5.62 eV/atom

(10)
First-principles (GGA-PBE) data for a relaxed structure of CdSnW4C2, as listed in OQMD.

```
CdSnW4C2
1.0
3.131 0.000 0.000
-1.565 2.712 0.000
0.000 0.000 14.007
W C Sn Cd
4 2 1 1
Direct
0.667 0.333 0.173 W
0.000 0.000 0.335 W
0.667 0.333 0.827 W
0.000 0.000 0.665 W
0.333 0.667 0.253 C
0.333 0.667 0.747 C
0.667 0.333 0.500 Sn
0.000 0.000 0.000 Cd
```

Results
total DFT energy (no corrections) = -9.12 eV/atom

(11)
First-principles (GGA-PBE) data for a relaxed structure of Ta4CdC3, as listed in OQMD.

```
Ta4CdC3
1.0
-1.872 2.526 -0.065
-0.711 -2.436 1.857
13.290 10.330 18.635
C Cd Ta
6 2 8
Direct
0.333 0.667 0.605 C
0.000 0.000 0.500 C
0.667 0.333 0.395 C
0.333 0.667 0.895 C
0.000 0.000 0.000 C
0.667 0.333 0.105 C
0.333 0.667 0.250 Cd
0.667 0.333 0.750 Cd
0.667 0.333 0.947 Ta
0.000 0.000 0.152 Ta
0.667 0.333 0.553 Ta
0.000 0.000 0.652 Ta
0.000 0.000 0.848 Ta
0.333 0.667 0.053 Ta
0.000 0.000 0.348 Ta
0.333 0.667 0.447 Ta
```

Results
total DFT energy (no corrections) = -9.99 eV/atom

(12)
First-principles (GGA-PBE) data for a relaxed structure of Ta3CdC2, as listed in OQMD.

```
Ta3CdC2
1.0
-1.791 -2.610 0.034
3.132 -0.235 -0.393
2.350 -1.356 19.557
Ta C Cd
6 4 2
Direct
0.333 0.667 0.875 Ta
0.667 0.333 0.125 Ta
0.333 0.667 0.625 Ta
0.000 0.000 0.500 Ta
0.667 0.333 0.375 Ta
0.000 0.000 0.000 Ta
0.333 0.667 0.432 C
0.667 0.333 0.568 C
0.333 0.667 0.068 C
0.667 0.333 0.932 C
0.000 0.000 0.250 Cd
0.000 0.000 0.750 Cd
```

Results
total DFT energy (no corrections) = -9.57 eV/atom

(13)
First-principles (GGA-PBE) data for a relaxed structure of TaCd2C, as listed in OQMD.

```
TaCd2C
1.0
-0.014 -2.966 0.624
1.622 1.902 1.715
-13.286 2.196 10.126
C Cd Ta
2 4 2
Direct
0.000 0.000 0.000 C
0.000 0.000 0.500 C
0.667 0.333 0.901 Cd
0.667 0.333 0.599 Cd
0.333 0.667 0.401 Cd
0.333 0.667 0.099 Cd
0.333 0.667 0.750 Ta
0.667 0.333 0.250 Ta
```

Results
total DFT energy (no corrections) = -4.48 eV/atom

(14)
First-principles (GGA-PBE) data for a relaxed structure of Ta4TlCdC2, as listed in OQMD.

```
Ta4TlCdC2
1.0
-2.133 -1.198 -2.037
2.931 -1.233 0.143
-4.443 -9.385 10.176
Tl C Cd Ta
1 2 1 4
Direct
0.333 0.667 0.500 Tl
0.667 0.333 0.752 C
0.667 0.333 0.248 C
0.000 0.000 0.000 Cd
0.333 0.667 0.831 Ta
0.000 0.000 0.669 Ta
0.333 0.667 0.169 Ta
0.000 0.000 0.331 Ta
```

Results
total DFT energy (no corrections) = -8.92 eV/atom

(15)
First-principles (GGA-PBE) data for a relaxed structure of Ta2Cd3W4C3, as listed in OQMD.

```
Ta2Cd3W4C3
1.0
-3.672 -0.173 -3.915
-4.664 -2.537 0.807
-3.036 13.201 5.970
Ta C Cd W
4 6 6 8
Direct
0.528 0.360 0.585 Ta
0.640 0.472 0.915 Ta
0.472 0.640 0.415 Ta
0.360 0.528 0.085 Ta
0.830 0.335 0.500 C
0.665 0.170 0.000 C
0.170 0.665 0.500 C
0.500 0.000 0.500 C
0.000 0.500 0.000 C
0.335 0.830 0.000 C
0.233 0.418 0.751 Cd
0.933 0.067 0.750 Cd
0.767 0.582 0.249 Cd
0.418 0.233 0.251 Cd
0.067 0.933 0.250 Cd
0.582 0.767 0.749 Cd
0.809 0.972 0.422 W
0.307 0.138 0.922 W
0.191 0.028 0.578 W
0.028 0.191 0.078 W
0.972 0.809 0.922 W
0.862 0.693 0.578 W
0.138 0.307 0.422 W
0.693 0.862 0.078 W
```

Results
total DFT energy (no corrections) = -8.80 eV/atom

(16)
First-principles (GGA-PBE) data for a relaxed structure of Y2Ta4Cd3C3, as listed in OQMD.

```
Y2Ta4Cd3C3
1.0
-4.566 -1.433 -3.163
0.345 -4.351 -3.729
-7.408 -8.802 9.480
C Ta Cd Y
6 8 6 4
Direct
0.500 0.000 0.500 C
0.826 0.326 0.500 C
0.848 0.826 0.000 C
0.500 0.500 0.000 C
0.152 0.174 0.000 C
0.174 0.674 0.500 C
0.868 0.143 0.927 Ta
0.228 0.463 0.927 Ta
0.132 0.857 0.073 Ta
0.118 0.037 0.573 Ta
0.438 0.357 0.573 Ta
0.772 0.537 0.073 Ta
0.882 0.963 0.427 Ta
0.562 0.643 0.427 Ta
0.145 0.268 0.752 Cd
0.182 0.750 0.750 Cd
0.855 0.732 0.248 Cd
0.665 0.232 0.748 Cd
0.818 0.250 0.250 Cd
0.335 0.768 0.252 Cd
0.770 0.693 0.610 Y
0.572 0.807 0.890 Y
0.230 0.307 0.390 Y
0.428 0.193 0.110 Y
```

Results
total DFT energy (no corrections) = -7.98 eV/atom

(17)
First-principles (GGA-PBE) data for a relaxed structure of Ta4ZnCdC2, as listed in OQMD.

```
Ta4ZnCdC2
1.0
3.132 0.000 0.000
-1.566 2.712 0.000
0.000 0.000 14.201
Zn Ta C Cd
1 4 2 1
Direct
0.667 0.333 0.500 Zn
0.000 0.000 0.656 Ta
0.000 0.000 0.344 Ta
0.667 0.333 0.173 Ta
0.667 0.333 0.827 Ta
0.333 0.667 0.742 C
0.333 0.667 0.258 C
0.000 0.000 0.000 Cd
```

Results
total DFT energy (no corrections) = -8.87 eV/atom

(18)
First-principles (GGA-PBE) data for a relaxed structure of Zr4Ta2Cd3C3, as listed in OQMD.

```
Zr4Ta2Cd3C3
1.0
-4.373 3.468 -1.217
-5.363 -1.734 0.930
3.874 4.982 13.862
C Ta Zr Cd
6 4 8 6
Direct
0.000 0.500 0.500 C
0.661 0.178 0.500 C
0.500 0.000 0.000 C
0.339 0.822 0.500 C
0.822 0.339 0.000 C
0.178 0.661 0.000 C
0.352 0.525 0.573 Ta
0.648 0.475 0.427 Ta
0.475 0.648 0.927 Ta
0.525 0.352 0.073 Ta
0.964 0.810 0.414 Zr
0.131 0.304 0.914 Zr
0.810 0.964 0.914 Zr
0.190 0.036 0.086 Zr
0.304 0.131 0.414 Zr
0.696 0.869 0.586 Zr
0.869 0.696 0.086 Zr
0.036 0.190 0.586 Zr
0.720 0.582 0.749 Cd
0.884 0.116 0.250 Cd
0.280 0.418 0.251 Cd
0.116 0.884 0.750 Cd
0.582 0.720 0.249 Cd
0.418 0.280 0.751 Cd
```

Results
total DFT energy (no corrections) = -7.85 eV/atom

(19)
First-principles (GGA-PBE) data for a relaxed structure of Zr2Ta4Cd3C3, as listed in OQMD.

```
Zr2Ta4Cd3C3
1.0
4.849 -2.796 0.000
4.849 2.796 0.000
-3.279 0.000 14.583
Zr C Cd Ta
4 6 6 8
Direct
0.373 0.533 0.096 Zr
0.627 0.467 0.904 Zr
0.467 0.627 0.404 Zr
0.533 0.373 0.596 Zr
0.500 0.000 0.500 C
0.330 0.839 0.000 C
0.000 0.500 0.000 C
0.839 0.330 0.500 C
0.670 0.161 0.000 C
0.161 0.670 0.500 C
0.175 0.416 0.748 Cd
0.991 0.009 0.750 Cd
0.416 0.175 0.248 Cd
0.584 0.825 0.752 Cd
0.825 0.584 0.252 Cd
0.009 0.991 0.250 Cd
0.798 0.982 0.423 Ta
0.851 0.694 0.577 Ta
0.694 0.851 0.077 Ta
0.202 0.018 0.577 Ta
0.018 0.202 0.077 Ta
0.149 0.306 0.423 Ta
0.306 0.149 0.923 Ta
0.982 0.798 0.923 Ta
```

Results
total DFT energy (no corrections) = -8.34 eV/atom

(20)
First-principles (GGA-PBE) data for a relaxed structure of Tb2CdC4, as listed in OQMD.

```
Tb2CdC4
1.0
-4.204 4.787 2.645
4.204 -4.787 2.645
4.204 4.787 -2.645
C Tb Cd
8 4 2
Direct
0.626 0.867 0.492 C
0.106 0.791 0.897 C
0.606 0.709 0.314 C
0.126 0.633 0.759 C
0.394 0.291 0.686 C
0.874 0.367 0.241 C
0.894 0.209 0.103 C
0.374 0.133 0.508 C
0.643 0.146 0.789 Tb
0.357 0.854 0.211 Tb
0.857 0.646 0.504 Tb
0.143 0.354 0.496 Tb
0.750 0.750 0.000 Cd
0.250 0.250 0.000 Cd
```

Results
total DFT energy (no corrections) = -6.63 eV/atom